Compound: CuAs2Ru
Source: the Alexandria database
Functional: PBE-GGA
Structure: relaxed

abc: 2.986 4.821 9.464
angles: 90.00 90.00 90.00
Space group Cmm2 (No. 35)
Asymmetric unit:
Cu1 0.000 0.000 0.000 (multiplicity 2)
As1 0.000 0.000 0.568 (multiplicity 2)
As2 0.000 0.500 0.211 (multiplicity 2)
Ru1 0.000 0.500 0.772 (multiplicity 2)

- Energy of formation: 0.295 eV per atom
- Total DFT energy (no corrections): -43.0 eV per cell
- Crystal system: orthorhombic
- Density of states at the Fermi level: 0.799 states/eV per atom